[1]
# Ta2ZnReH

A relaxed structure of Ta2ZnReH (GGA-PBE, Alexandria).

The value obtained for the relative energy among the computed polymorphs is 3.3 kJ per mole of atoms. The value obtained for the uncorrected energy is -0.2976 Ha/atom. The density of states at the Fermi level comes out at 2.85 states/eV/cell.

The space group is P4/mmm (No. 123) and the conventional cell measures 4.171, 4.171 and 3.857 Å, with angles of 90.00, 90.00 and 90.00 degrees. The asymmetric unit holds Ta at (0.000, 0.500, 0.000), Zn at (0.000, 0.000, 0.500), Re at (0.500, 0.500, 0.500) and H at (0.000, 0.000, 0.000).

[2]
# BaNbH

A relaxed structure of BaNbH (GGA-PBE, Alexandria).

The value obtained for the relative energy among the computed polymorphs is 9.5 kJ per mole of atoms. The value obtained for the uncorrected energy is -0.1813 Ha/atom. The density of states at the Fermi level comes out at 5.65 states/eV/cell.

The space group is Pm (No. 6) and the conventional cell measures 3.517, 3.977 and 10.405 Å, with angles of 90.00, 99.55 and 90.00 degrees. The asymmetric unit holds Ba at (0.000, 0.000, 0.000), Ba at (0.199, 0.500, 0.385), Nb at (0.377, 0.500, 0.749), Nb at (0.832, 0.000, 0.657), H at (0.280, 0.000, 0.549) and H at (0.826, 0.500, 0.643).

[3]
# TmSiMo

A relaxed structure of TmSiMo (GGA-PBE, Alexandria).

The energy relative to the elements, uncorrected is -1.29 eV/f.u. The value obtained for the uncorrected energy is -0.2696 Ha/atom. The density of states at the Fermi level comes out at 10.56 states/eV/cell.

The space group is P4_2/m (No. 84) and the conventional cell measures 8.065, 8.065 and 3.595 Å, with angles of 90.00, 90.00 and 90.00 degrees. The asymmetric unit holds Tm at (0.089, 0.733, 0.000), Si at (0.139, 0.446, 0.500) and Mo at (0.348, 0.388, 0.000).

[4]
# Ce2SmGa2

A relaxed structure of Ce2SmGa2 (GGA-PBE, Alexandria).

The value obtained for the relative energy among the computed polymorphs is 0.0 kJ per mole of atoms. The value obtained for the uncorrected energy is -0.1800 Ha/atom. The density of states at the Fermi level comes out at 26.80 states/eV/cell.

The space group is P4/mbm (No. 127) and the conventional cell measures 7.793, 7.793 and 4.407 Å, with angles of 90.00, 90.00 and 90.00 degrees. The asymmetric unit holds Ce at (0.169, 0.331, 0.000), Sm at (0.000, 0.000, 0.500) and Ga at (0.121, 0.621, 0.500).

[5]
# NdEuInPt

A relaxed structure of NdEuInPt (GGA-PBE, Alexandria).

The value obtained for the uncorrected energy is -0.2415 Ha/atom. The density of states at the Fermi level comes out at 30.44 states/eV/cell.

The space group is F-43m (No. 216) and the conventional cell measures 7.489, 7.489 and 7.489 Å, with angles of 90.00, 90.00 and 90.00 degrees. The asymmetric unit holds Nd at (0.000, 0.000, 0.000), Eu at (0.000, 0.000, 0.500), In at (0.250, 0.250, 0.750) and Pt at (0.250, 0.250, 0.250).

[6]
# TbNd6HoEr2

A relaxed structure of TbNd6HoEr2 (GGA-PBE, Alexandria).

The value obtained for the uncorrected energy is -0.1682 Ha/atom. The density of states at the Fermi level comes out at 58.09 states/eV/cell.

The space group is C2/c (No. 15) and the conventional cell measures 9.273, 15.296 and 9.632 Å, with angles of 90.00, 97.33 and 90.00 degrees. The asymmetric unit holds Tb at (0.000, 0.029, 0.250), Nd at (0.061, 0.176, 0.946), Nd at (0.098, 0.391, 0.118), Nd at (0.214, 0.223, 0.313), Ho at (0.000, 0.411, 0.750) and Er at (0.249, 0.048, 0.547).

[7]
# TaTiAlO6

A relaxed structure of TaTiAlO6 (GGA-PBE, Alexandria).

The energy relative to the elements, uncorrected is -26.10 eV/f.u. The value obtained for the relative energy among the computed polymorphs is 2.7 kJ per mole of atoms. The value obtained for the uncorrected energy is -0.3240 Ha/atom. The density of states at the Fermi level comes out at 0.00 states/eV/cell.

The space group is P-31c (No. 163) and the conventional cell measures 4.9176, 4.9176 and 8.8736 Å, with angles of 90.00, 90.00 and 120.00 degrees. The asymmetric unit holds Ta at (0.0000, 0.0000, 0.0000), Ti at (0.3333, 0.6667, 0.2500), Al at (0.3333, 0.6667, 0.7500) and O at (0.0079, 0.3388, 0.6312).

[8]
# BaIn2Co

A relaxed structure of BaIn2Co (GGA-PBE, Alexandria).

The value obtained for the uncorrected energy is -0.1221 Ha/atom. The density of states at the Fermi level comes out at 26.66 states/eV/cell.

The space group is Fm-3m (No. 225) and the conventional cell measures 7.503, 7.503 and 7.503 Å, with angles of 90.00, 90.00 and 90.00 degrees. The asymmetric unit holds Ba at (0.000, 0.000, 0.000), In at (0.250, 0.250, 0.250) and Co at (0.000, 0.000, 0.500).

Q: Look up the uncorrected energy of the sixth one.
A: -0.1682 Ha/atom

Please write out number 7 again, unchanged.
# TaTiAlO6

A relaxed structure of TaTiAlO6 (GGA-PBE, Alexandria).

The energy relative to the elements, uncorrected is -26.10 eV/f.u. The value obtained for the relative energy among the computed polymorphs is 2.7 kJ per mole of atoms. The value obtained for the uncorrected energy is -0.3240 Ha/atom. The density of states at the Fermi level comes out at 0.00 states/eV/cell.

The space group is P-31c (No. 163) and the conventional cell measures 4.9176, 4.9176 and 8.8736 Å, with angles of 90.00, 90.00 and 120.00 degrees. The asymmetric unit holds Ta at (0.0000, 0.0000, 0.0000), Ti at (0.3333, 0.6667, 0.2500), Al at (0.3333, 0.6667, 0.7500) and O at (0.0079, 0.3388, 0.6312).

Q: Look up the uncorrected energy of the first one.
A: -0.2976 Ha/atom